# 1
LiSc2Nb2 | GGA-PBE | relaxed

Output
Energy above the lowest structure with this stoichiometry: 0 meV/atom
Calculated formation energy: 1.84 eV/f.u.
E_tot: -65.74 eV/cell

abc: 8.226 8.226 3.290
angles: 90.00 90.00 90.00
Atoms (fractional coordinates):
Li (0.000, 0.000, 0.000)
Li (0.500, 0.500, 0.000)
Sc (0.191, 0.309, 0.500)
Sc (0.309, 0.809, 0.500)
Sc (0.691, 0.191, 0.500)
Sc (0.809, 0.691, 0.500)
Nb (0.104, 0.604, 0.000)
Nb (0.396, 0.104, 0.000)
Nb (0.604, 0.896, 0.000)
Nb (0.896, 0.396, 0.000)

=====

# 2
LiScNb3 | GGA-PBE | relaxed

Output
Energy above the lowest structure with this stoichiometry: 698 meV/atom
Calculated formation energy: 8.23 eV/f.u.
E_tot: -30.23 eV/cell

abc: 4.827 4.827 4.827
angles: 90.00 90.00 90.00
Atoms (fractional coordinates):
Li (0.000, 0.000, 0.000)
Sc (0.500, 0.500, 0.500)
Nb (0.000, 0.500, 0.500)
Nb (0.500, 0.000, 0.500)
Nb (0.500, 0.500, 0.000)

=====

# 3
LiScNb | GGA-PBE | relaxed

Output
Calculated formation energy: 0.18 eV/f.u.
E_tot: -36.28 eV/cell

abc: 3.441 3.441 10.345
angles: 90.00 90.00 90.00
Atoms (fractional coordinates):
Li (0.250, 0.250, 0.073)
Li (0.750, 0.750, 0.927)
Sc (0.250, 0.250, 0.737)
Sc (0.750, 0.750, 0.263)
Nb (0.250, 0.250, 0.435)
Nb (0.750, 0.750, 0.565)

=====

# 4
LiScNb3 | GGA-PBE | relaxed

Output
Energy above the lowest structure with this stoichiometry: 0 meV/atom
Calculated formation energy: 4.74 eV/f.u.
E_tot: -33.72 eV/cell

abc: 4.546 4.546 4.546
angles: 90.00 90.00 90.00
Atoms (fractional coordinates):
Li (0.000, 0.000, 0.000)
Sc (0.500, 0.500, 0.500)
Nb (0.000, 0.000, 0.500)
Nb (0.000, 0.500, 0.000)
Nb (0.500, 0.000, 0.000)

=====

# 5
LiSc2Nb | GGA-PBE | relaxed

Output
Energy above the lowest structure with this stoichiometry: 529 meV/atom
Calculated formation energy: 2.57 eV/f.u.
E_tot: -44.15 eV/cell

abc: 10.127 10.127 10.127
angles: 156.52 156.52 33.45
Atoms (fractional coordinates):
Li (0.000, 0.000, 0.000)
Li (0.750, 0.250, 0.500)
Sc (0.130, 0.625, 0.005)
Sc (0.375, 0.380, 0.505)
Sc (0.620, 0.125, 0.995)
Sc (0.875, 0.870, 0.495)
Nb (0.250, 0.750, 0.500)
Nb (0.500, 0.500, 0.000)

=====

# 6
Li3ScNb | GGA-PBE | relaxed

Output
Energy above the lowest structure with this stoichiometry: 0 meV/atom
Calculated formation energy: 5.76 eV/f.u.
E_tot: -16.38 eV/cell

abc: 4.868 4.868 4.868
angles: 90.00 90.00 90.00
Atoms (fractional coordinates):
Li (0.000, 0.000, 0.500)
Li (0.000, 0.500, 0.000)
Li (0.500, 0.000, 0.000)
Sc (0.500, 0.500, 0.500)
Nb (0.000, 0.000, 0.000)

=====

# 7
LiThScNb | GGA-PBE | relaxed

Output
Calculated formation energy: 0.79 eV/f.u.
E_tot: -24.94 eV/cell

abc: 4.995 4.995 4.995
angles: 60.00 60.00 60.00
Atoms (fractional coordinates):
Li (0.000, 0.000, 0.000)
Th (0.750, 0.750, 0.750)
Sc (0.250, 0.250, 0.250)
Nb (0.500, 0.500, 0.500)

=====

# 8
LiNbSe2 | GGA-PBE | relaxed

Output
E_form (uncorrected): -582 meV per atom
E_tot: -21.28 eV/cell

abc: 4.665 4.665 4.665
angles: 60.00 60.00 60.00
Atoms (fractional coordinates):
Li (0.000, 0.000, 0.000)
Nb (0.500, 0.500, 0.500)
Se (0.250, 0.250, 0.250)
Se (0.750, 0.750, 0.750)

=====

# 9
Li3NbSe | GGA-PBE | relaxed

Output
Energy above the lowest structure with this stoichiometry: 0 meV/atom
E_form (uncorrected): 303 meV per atom
E_tot: -17.78 eV/cell

abc: 4.782 4.782 4.782
angles: 90.00 90.00 90.00
Atoms (fractional coordinates):
Li (0.000, 0.000, 0.500)
Li (0.000, 0.500, 0.000)
Li (0.500, 0.000, 0.000)
Nb (0.500, 0.500, 0.500)
Se (0.000, 0.000, 0.000)

=====

# 10
LiNbSe3 | GGA-PBE | relaxed

Output
Energy above the lowest structure with this stoichiometry: 369 meV/atom
E_form (uncorrected): -490 meV per atom
E_tot: -99.56 eV/cell

abc: 9.426 9.426 9.426
angles: 60.00 60.00 60.00
Atoms (fractional coordinates):
Li (0.000, 0.000, 0.000)
Li (0.000, 0.000, 0.500)
Li (0.000, 0.500, 0.000)
Li (0.500, 0.000, 0.000)
Nb (0.000, 0.500, 0.500)
Nb (0.500, 0.000, 0.500)
Nb (0.500, 0.500, 0.000)
Nb (0.500, 0.500, 0.500)
Se (0.172, 0.172, 0.578)
Se (0.172, 0.578, 0.172)
Se (0.172, 0.578, 0.578)
Se (0.422, 0.422, 0.828)
Se (0.422, 0.828, 0.422)
Se (0.422, 0.828, 0.828)
Se (0.578, 0.172, 0.172)
Se (0.578, 0.172, 0.578)
Se (0.578, 0.578, 0.172)
Se (0.828, 0.422, 0.422)
Se (0.828, 0.422, 0.828)
Se (0.828, 0.828, 0.422)

=====

# 11
LiNbSe3 | GGA-PBE | relaxed

Output
Energy above the lowest structure with this stoichiometry: 51 meV/atom
E_form (uncorrected): -808 meV per atom
E_tot: -52.95 eV/cell

abc: 7.254 7.254 7.254
angles: 53.66 53.66 53.66
Atoms (fractional coordinates):
Li (0.155, 0.155, 0.155)
Li (0.845, 0.845, 0.845)
Nb (0.349, 0.349, 0.349)
Nb (0.651, 0.651, 0.651)
Se (0.073, 0.733, 0.437)
Se (0.267, 0.563, 0.927)
Se (0.437, 0.073, 0.733)
Se (0.563, 0.927, 0.267)
Se (0.733, 0.437, 0.073)
Se (0.927, 0.267, 0.563)

=====

# 12
LiNbSe3 | GGA-PBE | relaxed

Output
Energy above the lowest structure with this stoichiometry: 570 meV/atom
E_form (uncorrected): -289 meV per atom
E_tot: -47.77 eV/cell

abc: 10.588 10.588 10.588
angles: 152.96 152.96 38.61
Atoms (fractional coordinates):
Li (0.000, 0.000, 0.000)
Li (0.750, 0.250, 0.500)
Nb (0.180, 0.680, 0.500)
Nb (0.320, 0.820, 0.500)
Se (0.273, 0.273, 0.000)
Se (0.364, 0.112, 0.251)
Se (0.727, 0.727, 0.000)
Se (0.861, 0.112, 0.749)
Se (0.888, 0.139, 0.251)
Se (0.888, 0.636, 0.749)

=====

# 13
LiNbSe2 | GGA-PBE | relaxed

Output
E_form (uncorrected): -898 meV per atom
E_tot: -22.55 eV/cell

abc: 7.421 7.421 7.421
angles: 27.43 27.43 27.43
Atoms (fractional coordinates):
Li (0.000, 0.000, 0.000)
Nb (0.162, 0.162, 0.162)
Se (0.575, 0.575, 0.575)
Se (0.748, 0.748, 0.748)

=====

# 14
LiNb2Se2 | GGA-PBE | relaxed

Output
Energy above the lowest structure with this stoichiometry: 257 meV/atom
E_form (uncorrected): -338 meV per atom
E_tot: -61.43 eV/cell

abc: 7.255 7.255 3.312
angles: 90.00 90.00 90.00
Atoms (fractional coordinates):
Li (0.000, 0.000, 0.000)
Li (0.500, 0.500, 0.000)
Nb (0.149, 0.351, 0.500)
Nb (0.351, 0.851, 0.500)
Nb (0.649, 0.149, 0.500)
Nb (0.851, 0.649, 0.500)
Se (0.150, 0.650, 0.000)
Se (0.350, 0.150, 0.000)
Se (0.650, 0.850, 0.000)
Se (0.850, 0.350, 0.000)

=====

# 15
LiNbSe3 | GGA-PBE | relaxed

Output
Energy above the lowest structure with this stoichiometry: 77 meV/atom
E_form (uncorrected): -783 meV per atom
E_tot: -105.40 eV/cell

abc: 8.951 8.951 6.220
angles: 98.30 98.30 85.73
Atoms (fractional coordinates):
Li (0.093, 0.261, 0.256)
Li (0.261, 0.093, 0.756)
Li (0.739, 0.907, 0.244)
Li (0.907, 0.739, 0.744)
Nb (0.236, 0.764, 0.250)
Nb (0.407, 0.593, 0.750)
Nb (0.593, 0.407, 0.250)
Nb (0.764, 0.236, 0.750)
Se (0.006, 0.230, 0.622)
Se (0.156, 0.590, 0.879)
Se (0.230, 0.006, 0.122)
Se (0.306, 0.465, 0.364)
Se (0.410, 0.844, 0.621)
Se (0.465, 0.306, 0.864)
Se (0.535, 0.694, 0.136)
Se (0.590, 0.156, 0.379)
Se (0.694, 0.535, 0.636)
Se (0.770, 0.994, 0.878)
Se (0.844, 0.410, 0.121)
Se (0.994, 0.770, 0.378)

=====

# 16
Li2NbSe | GGA-PBE | relaxed

Output
E_form (uncorrected): -9 meV per atom
E_tot: -34.84 eV/cell

abc: 5.834 5.834 5.834
angles: 100.79 100.79 128.73
Atoms (fractional coordinates):
Li (0.074, 0.625, 0.949)
Li (0.375, 0.324, 0.449)
Li (0.676, 0.125, 0.051)
Li (0.875, 0.926, 0.551)
Nb (0.250, 0.750, 0.500)
Nb (0.500, 0.500, 0.000)
Se (0.000, 0.000, 0.000)
Se (0.750, 0.250, 0.500)

=====

# 17
LiNbSe3 | GGA-PBE | relaxed

Output
Energy above the lowest structure with this stoichiometry: 267 meV/atom
E_form (uncorrected): -592 meV per atom
E_tot: -50.80 eV/cell

abc: 8.493 8.493 7.913
angles: 90.00 90.00 126.73
Atoms (fractional coordinates):
Li (0.207, 0.793, 0.750)
Li (0.793, 0.207, 0.250)
Nb (0.404, 0.596, 0.750)
Nb (0.596, 0.404, 0.250)
Se (0.061, 0.440, 0.750)
Se (0.440, 0.061, 0.250)
Se (0.500, 0.500, 0.000)
Se (0.500, 0.500, 0.500)
Se (0.560, 0.939, 0.750)
Se (0.939, 0.560, 0.250)

=====

# 18
LiNbSe3 | GGA-PBE | relaxed

Output
Energy above the lowest structure with this stoichiometry: 121 meV/atom
E_form (uncorrected): -739 meV per atom
E_tot: -26.13 eV/cell

abc: 3.377 7.617 7.617
angles: 60.02 90.00 90.00
Atoms (fractional coordinates):
Li (0.000, 0.000, 0.000)
Nb (0.500, 0.328, 0.328)
Se (0.000, 0.140, 0.615)
Se (0.000, 0.615, 0.140)
Se (0.500, 0.147, 0.147)

=====

# 19
LiNbSe2 | GGA-PBE | relaxed

Output
E_form (uncorrected): -626 meV per atom
E_tot: -42.91 eV/cell

abc: 7.261 7.261 7.261
angles: 131.84 131.84 70.49
Atoms (fractional coordinates):
Li (0.000, 0.000, 0.000)
Li (0.750, 0.250, 0.500)
Nb (0.250, 0.750, 0.500)
Nb (0.500, 0.500, 0.000)
Se (0.133, 0.625, 0.008)
Se (0.375, 0.383, 0.508)
Se (0.617, 0.125, 0.992)
Se (0.875, 0.867, 0.492)

=====

# 20
LiNbSe3 | GGA-PBE | relaxed

Output
Energy above the lowest structure with this stoichiometry: 63 meV/atom
E_form (uncorrected): -797 meV per atom
E_tot: -105.69 eV/cell

abc: 7.158 6.831 13.131
angles: 90.00 119.25 90.00
Atoms (fractional coordinates):
Li (0.025, 0.024, 0.144)
Li (0.025, 0.476, 0.644)
Li (0.975, 0.524, 0.356)
Li (0.975, 0.976, 0.856)
Nb (0.405, 0.247, 0.996)
Nb (0.405, 0.253, 0.496)
Nb (0.595, 0.747, 0.504)
Nb (0.595, 0.753, 0.004)
Se (0.079, 0.239, 0.502)
Se (0.079, 0.261, 0.002)
Se (0.325, 0.519, 0.343)
Se (0.325, 0.981, 0.843)
Se (0.374, 0.009, 0.345)
Se (0.374, 0.491, 0.845)
Se (0.626, 0.509, 0.155)
Se (0.626, 0.991, 0.655)
Se (0.675, 0.019, 0.157)
Se (0.675, 0.481, 0.657)
Se (0.921, 0.739, 0.998)
Se (0.921, 0.761, 0.498)